No. 1
Ba2HS | PBE-GGA | optimized geometry

Output
Calculated total energy (eV for the cell shown): -15.83
Excess energy over the best structure of this formula in the dataset (eV/atom): 0.000

Cell: 4.376 4.376 7.543 Å, 73.14 73.14 60.00°
Sites, in units of the cell vectors:
S (0.500, 0.500, 0.500)
H (0.000, 0.000, 0.000)
Ba (0.748, 0.748, 0.755)
Ba (0.252, 0.252, 0.245)

---

No. 2
DySc2Ti | PBE-GGA | optimized geometry

Output
Formation enthalpy at 0 K (eV/atom): 0.1437
Calculated total energy (eV for the cell shown): -24.59
Excess energy over the best structure of this formula in the dataset (eV/atom): 0.005

Cell: 3.241 3.241 10.683 Å, 81.28 81.28 60.00°
Sites, in units of the cell vectors:
Dy (0.500, 0.500, 0.500)
Sc (0.258, 0.258, 0.226)
Sc (0.742, 0.742, 0.774)
Ti (0.000, 0.000, 0.000)

---

No. 3
K2Rb12Na5 | PBE-GGA | optimized geometry

Output
Formation enthalpy at 0 K (eV/atom): 0.0275
Calculated total energy (eV for the cell shown): -19.88

Cell: 11.265 11.265 11.739 Å, 78.02 78.02 81.33°
Sites, in units of the cell vectors:
Rb (0.617, 0.165, 0.413)
Rb (0.348, 0.021, 0.180)
Rb (0.979, 0.652, 0.820)
Rb (0.383, 0.835, 0.587)
Rb (0.902, 0.902, 0.181)
Rb (0.165, 0.617, 0.413)
Rb (0.098, 0.098, 0.819)
Rb (0.835, 0.383, 0.587)
Rb (0.621, 0.621, 0.240)
Rb (0.379, 0.379, 0.760)
Rb (0.652, 0.979, 0.820)
Rb (0.021, 0.348, 0.180)
Na (0.388, 0.388, 0.170)
Na (0.771, 0.771, 0.536)
Na (0.229, 0.229, 0.464)
Na (0.612, 0.612, 0.830)
Na (0.000, 0.000, 0.500)
K (0.714, 0.286, 0.000)
K (0.286, 0.714, 0.000)

---

No. 4
Be2SeCl | PBE-GGA | optimized geometry

Output
Formation energy (no corrections) (eV/f.u.): 1.8
Calculated total energy (eV for the cell shown): -10.96
Excess energy over the best structure of this formula in the dataset (eV/atom): 0.865

Cell: 4.377 4.377 3.041 Å, 90.00 90.00 90.00°
Sites, in units of the cell vectors:
Be (0.500, 0.500, 0.000)
Be (0.000, 0.000, 0.000)
Se (0.000, 0.500, 0.500)
Cl (0.500, 0.000, 0.500)

---

Please write out number 2 again, unchanged.
DySc2Ti | PBE-GGA | optimized geometry

Output
Formation enthalpy at 0 K (eV/atom): 0.1437
Calculated total energy (eV for the cell shown): -24.59
Excess energy over the best structure of this formula in the dataset (eV/atom): 0.005

Cell: 3.241 3.241 10.683 Å, 81.28 81.28 60.00°
Sites, in units of the cell vectors:
Dy (0.500, 0.500, 0.500)
Sc (0.258, 0.258, 0.226)
Sc (0.742, 0.742, 0.774)
Ti (0.000, 0.000, 0.000)

---

Among the records above, which one has the lowest calculated total energy?
DySc2Ti